1.
Density functional theory data (PBE) for crystalline ScBe2Pt at its relaxed geometry. Values from VASP.

## Properties
ΔE_f	-420	meV per atom

The structure in Quantum ESPRESSO input format:
```
&SYSTEM
  ibrav = 0, nat = 4, ntyp = 3
/
ATOMIC_SPECIES
Sc 44.96 Sc.upf
Be 9.01 Be.upf
Pt 195.08 Pt.upf
CELL_PARAMETERS angstrom
-0.295 -0.267 -2.867
2.283 -1.779 -0.069
-3.877 -5.007 0.865
ATOMIC_POSITIONS angstrom
Sc -1.946 -4.820 -0.812
Be -0.240 -0.310 0.054
Be 0.077 -2.208 -1.264
Pt -1.718 -2.219 0.383
```

=====

2.
Density functional theory data (PBE) for crystalline Sc2BePt at its relaxed geometry. Values from VASP.

## Properties
ΔE_f	-477	meV per atom

The structure in Quantum ESPRESSO input format:
```
&SYSTEM
  ibrav = 0, nat = 4, ntyp = 3
/
ATOMIC_SPECIES
Sc 44.96 Sc.upf
Be 9.01 Be.upf
Pt 195.08 Pt.upf
CELL_PARAMETERS angstrom
5.127 0.009 0.000
2.065 4.693 0.000
-3.596 -2.351 2.798
ATOMIC_POSITIONS angstrom
Sc 0.000 0.000 0.000
Sc 1.033 2.346 1.399
Be 3.596 2.351 0.000
Pt 2.564 0.004 1.399
```

=====

3.
Density functional theory data (PBE) for crystalline ScBe4Pt at its relaxed geometry. Values from VASP.

## Properties
ΔE_f	-478	meV per atom

The structure in Quantum ESPRESSO input format:
```
&SYSTEM
  ibrav = 0, nat = 6, ntyp = 3
/
ATOMIC_SPECIES
Be 9.01 Be.upf
Pt 195.08 Pt.upf
Sc 44.96 Sc.upf
CELL_PARAMETERS angstrom
4.544 0.000 0.000
2.272 3.935 0.000
2.272 1.312 3.710
ATOMIC_POSITIONS angstrom
Be 3.410 3.278 2.318
Be 5.678 3.278 2.318
Be 4.544 1.314 2.318
Be 4.544 2.623 0.466
Pt 2.272 1.312 0.927
Sc 0.000 0.000 0.000
```

=====

4.
Density functional theory data (PBE) for crystalline ScBePt2 at its relaxed geometry. Values from VASP.

## Properties
ΔE_f	-830	meV per atom

The structure in Quantum ESPRESSO input format:
```
&SYSTEM
  ibrav = 0, nat = 4, ntyp = 3
/
ATOMIC_SPECIES
Sc 44.96 Sc.upf
Be 9.01 Be.upf
Pt 195.08 Pt.upf
CELL_PARAMETERS angstrom
-1.235 1.477 3.575
2.853 -2.191 1.891
2.330 2.749 -0.331
ATOMIC_POSITIONS angstrom
Sc 0.547 2.113 1.622
Be 2.591 0.279 0.780
Pt 0.000 0.000 0.000
Pt 0.809 -0.357 2.733
```

=====

5.
Density functional theory data (PBE) for crystalline ScBe2Pt2 at its relaxed geometry. Values from VASP.

## Properties
ΔE_f	-806	meV per atom

The structure in Quantum ESPRESSO input format:
```
&SYSTEM
  ibrav = 0, nat = 5, ntyp = 3
/
ATOMIC_SPECIES
Sc 44.96 Sc.upf
Be 9.01 Be.upf
Pt 195.08 Pt.upf
CELL_PARAMETERS angstrom
-1.297 0.778 -3.115
-1.133 -3.254 -0.341
-6.437 0.312 0.833
ATOMIC_POSITIONS angstrom
Sc 0.000 0.000 0.000
Be -4.474 -0.074 -2.005
Be -4.392 -2.090 -0.618
Pt -2.454 -0.870 -1.121
Pt -6.413 -1.294 -1.503
```

=====

6.
Density functional theory data (PBE) for crystalline ScBe2Pt at its relaxed geometry. Values from VASP.

## Properties
ΔE_f	-424	meV per atom

The structure in Quantum ESPRESSO input format:
```
&SYSTEM
  ibrav = 0, nat = 4, ntyp = 3
/
ATOMIC_SPECIES
Sc 44.96 Sc.upf
Be 9.01 Be.upf
Pt 195.08 Pt.upf
CELL_PARAMETERS angstrom
2.995 -0.002 0.000
0.001 2.995 0.000
0.000 0.000 6.073
ATOMIC_POSITIONS angstrom
Sc 1.498 1.496 4.555
Be 0.000 0.000 0.339
Be 0.000 0.000 2.698
Pt 1.498 1.496 1.518
```

=====

7.
Density functional theory data (PBE) for crystalline Sc2BePt at its relaxed geometry. Values from VASP.

## Properties
ΔE_f	-104	meV per atom

The structure in Quantum ESPRESSO input format:
```
&SYSTEM
  ibrav = 0, nat = 8, ntyp = 3
/
ATOMIC_SPECIES
Sc 44.96 Sc.upf
Be 9.01 Be.upf
Pt 195.08 Pt.upf
CELL_PARAMETERS angstrom
-3.354 4.301 -4.971
-1.486 -5.933 -4.130
-4.770 -1.137 -3.244
ATOMIC_POSITIONS angstrom
Sc -3.535 1.740 -4.524
Sc -2.480 -3.533 -3.924
Sc -5.365 -1.357 -5.771
Sc -7.839 -2.388 -10.472
Be -2.420 -0.816 -4.551
Be -4.338 -3.943 -5.963
Pt 0.000 0.000 0.000
Pt -5.272 1.174 -6.383
```

=====

8.
Density functional theory data (PBE) for crystalline ScBe9Pt2 at its relaxed geometry. Values from VASP.

## Properties
ΔE_f	-454	meV per atom

The structure in Quantum ESPRESSO input format:
```
&SYSTEM
  ibrav = 0, nat = 12, ntyp = 3
/
ATOMIC_SPECIES
Sc 44.96 Sc.upf
Be 9.01 Be.upf
Pt 195.08 Pt.upf
CELL_PARAMETERS angstrom
4.418 0.000 0.000
2.209 3.826 0.000
2.209 1.275 7.129
ATOMIC_POSITIONS angstrom
Sc 0.000 0.000 0.000
Be 6.627 3.826 7.108
Be 2.209 1.275 0.021
Be 4.418 2.551 3.565
Be 3.309 1.910 1.825
Be 5.527 1.910 1.825
Be 4.418 3.831 1.825
Be 5.527 3.191 5.305
Be 4.418 1.270 5.305
Be 3.309 3.191 5.305
Pt 6.627 3.826 2.906
Pt 2.209 1.275 4.224
```

=====

9.
Density functional theory data (PBE) for crystalline ScBe2Pt2 at its relaxed geometry. Values from VASP.

## Properties
ΔE_f	-839	meV per atom

The structure in Quantum ESPRESSO input format:
```
&SYSTEM
  ibrav = 0, nat = 10, ntyp = 3
/
ATOMIC_SPECIES
Sc 44.96 Sc.upf
Be 9.01 Be.upf
Pt 195.08 Pt.upf
CELL_PARAMETERS angstrom
3.845 0.000 -0.828
-0.178 3.841 -0.828
0.070 0.073 9.665
ATOMIC_POSITIONS angstrom
Sc 2.300 2.409 1.338
Sc 1.437 1.505 6.672
Be 2.874 0.997 4.005
Be 3.483 3.648 6.830
Be 0.254 0.266 1.179
Be 0.862 2.917 4.005
Pt -0.089 1.920 -0.414
Pt 0.711 0.745 3.301
Pt 1.922 0.000 -0.414
Pt 3.026 3.169 4.709
```

=====

10.
Density functional theory data (PBE) for crystalline Sc2BePt at its relaxed geometry. Values from VASP.

## Properties
ΔE_f	-668	meV per atom

The structure in Quantum ESPRESSO input format:
```
&SYSTEM
  ibrav = 0, nat = 4, ntyp = 3
/
ATOMIC_SPECIES
Sc 44.96 Sc.upf
Be 9.01 Be.upf
Pt 195.08 Pt.upf
CELL_PARAMETERS angstrom
3.278 0.000 0.000
0.000 4.570 0.000
0.000 0.000 4.570
ATOMIC_POSITIONS angstrom
Sc 0.000 0.000 2.285
Sc 0.000 2.285 0.000
Be 1.639 2.285 2.285
Pt 1.639 0.000 0.000
```

=====

11.
Density functional theory data (PBE) for crystalline ScBe2Pt3 at its relaxed geometry. Values from VASP.

## Properties
ΔE_f	-892	meV per atom

The structure in Quantum ESPRESSO input format:
```
&SYSTEM
  ibrav = 0, nat = 6, ntyp = 3
/
ATOMIC_SPECIES
Sc 44.96 Sc.upf
Be 9.01 Be.upf
Pt 195.08 Pt.upf
CELL_PARAMETERS angstrom
-2.356 -0.593 -1.495
-1.444 -0.385 2.430
-2.451 9.577 0.063
ATOMIC_POSITIONS angstrom
Sc -3.126 4.299 0.499
Be -3.987 7.665 0.521
Be -2.264 0.934 0.477
Pt 0.000 0.000 0.000
Pt -1.736 6.781 0.044
Pt -0.716 2.796 0.018
```

=====

12.
Density functional theory data (PBE) for crystalline ScBe2Pt at its relaxed geometry. Values from VASP.

## Properties
ΔE_f	113	meV per atom

The structure in Quantum ESPRESSO input format:
```
&SYSTEM
  ibrav = 0, nat = 4, ntyp = 3
/
ATOMIC_SPECIES
Sc 44.96 Sc.upf
Be 9.01 Be.upf
Pt 195.08 Pt.upf
CELL_PARAMETERS angstrom
4.599 -2.127 -2.652
-2.211 4.559 2.652
-2.447 0.013 5.170
ATOMIC_POSITIONS angstrom
Sc 0.000 0.000 0.000
Be -1.307 1.283 2.196
Be -3.350 3.289 5.627
Pt -2.329 2.286 3.911
```